The following is a DFT calculation (PBE) of a relaxed structure of MoOsAu2.

Structure (POSCAR):
```
MoOsAu2
1.0
2.756 0.000 0.000
0.000 2.756 0.000
0.000 0.000 8.565
Mo Os Au
1 1 2
direct
0.000 0.000 0.000
0.000 0.000 0.500
0.500 0.500 0.251
0.500 0.500 0.749
```

Results
As for the energy above the lowest structure with this stoichiometry: 0.364 eV/atom.

The following is a DFT calculation (PBE) of a relaxed structure of CaPr6Tl4.

Structure (POSCAR):
```
CaPr6Tl4
1.0
-4.037 4.037 6.143
4.037 -4.037 6.143
4.037 4.037 -6.143
Ca Pr Tl
1 6 4
direct
0.000 0.000 0.000
0.000 0.500 0.500
0.099 0.478 0.000
0.478 0.099 0.000
0.500 0.000 0.500
0.522 0.522 0.621
0.901 0.901 0.379
0.262 0.262 0.667
0.405 0.738 0.000
0.595 0.595 0.333
0.738 0.405 0.000
```

Results
The calculation puts the final energy at -3.76 eV/atom.

no.,calculated density (kg/m3)
1,17366
2,7062